TeIrOsPb: relaxed, PBE.

a b c (Å): 7.077 7.077 7.077
angles (deg): 33.58 33.58 33.58
Sites, in units of the cell vectors:
Te1 0.000 0.000 0.000
Ir1 0.554 0.554 0.554
Os1 0.257 0.257 0.257
Pb1 0.800 0.800 0.800

Values from the calculation:
- Size of the total moment: 0.000 μB per formula unit
- Density: 12.3 g/cm3
- ΔE_f (raw): 353 meV per atom
- DOS at the Fermi energy: 0.86 states/eV/atom
- E above lowest polymorph: 18 meV per atom
- Energy: -6.38 eV per atom


MnIn2Co: relaxed, PBE.

a b c (Å): 5.110 5.110 5.110
angles (deg): 134.32 134.32 66.59
Sites, in units of the cell vectors:
Mn1 0.000 0.000 0.000
In1 0.500 0.500 0.000
In2 0.750 0.250 0.500
Co1 0.250 0.750 0.500

Values from the calculation:
- Size of the total moment: 4.328 μB per formula unit
- Energy relative to the elements: 24.1 kJ per mole of atoms
- Density: 8.5 g/cm3
- DOS at the Fermi energy: 0.94 states/eV/atom
- Energy: -5.19 eV per atom


LiEr3Fe: relaxed, PBE.

a b c (Å): 5.173 5.173 5.173
angles (deg): 90.00 90.00 90.00
Sites, in units of the cell vectors:
Li1 0.000 0.000 0.000
Er1 0.000 0.500 0.500
Er2 0.500 0.000 0.500
Er3 0.500 0.500 0.000
Fe1 0.500 0.500 0.500

Values from the calculation:
- Size of the total moment: 0.000 μB per formula unit
- Energy relative to the elements: 10.8 kJ per mole of atoms
- Density: 6.8 g/cm3
- DOS at the Fermi energy: 0.93 states/eV/atom
- Energy: -4.70 eV per atom


Cs2SrCdBr6: relaxed, PBE.

a b c (Å): 5.874 5.874 11.502
angles (deg): 90.00 90.00 90.00
Sites, in units of the cell vectors:
Cs1 0.000 0.000 0.231
Cs2 0.000 0.000 0.769
Sr1 0.500 0.500 0.500
Cd1 0.500 0.500 0.000
Br1 0.000 0.500 0.000
Br2 0.000 0.500 0.500
Br3 0.500 0.000 0.000
Br4 0.500 0.000 0.500
Br5 0.500 0.500 0.234
Br6 0.500 0.500 0.766

Values from the calculation:
- Size of the total moment: 0.000 μB per formula unit
- Density: 4.0 g/cm3
- ΔE_f (raw): -1608 meV per atom
- DOS at the Fermi energy: 0.00 states/eV/atom
- E above lowest polymorph: 8 meV per atom
- Energy: -3.04 eV per atom


RbLa3Cu: relaxed, PBE.

a b c (Å): 5.682 5.682 5.682
angles (deg): 90.00 90.00 90.00
Sites, in units of the cell vectors:
Rb1 0.000 0.000 0.000
La1 0.000 0.000 0.500
La2 0.000 0.500 0.000
La3 0.500 0.000 0.000
Cu1 0.500 0.500 0.500

Values from the calculation:
- Size of the total moment: 0.002 μB per formula unit
- Energy relative to the elements: 129.0 kJ per mole of atoms
- Density: 5.1 g/cm3
- DOS at the Fermi energy: 1.23 states/eV/atom
- E above lowest polymorph: 1018 meV per atom
- Energy: -2.63 eV per atom


PrGdLuCd: relaxed, PBE.

a b c (Å): 5.501 5.501 5.501
angles (deg): 60.00 60.00 60.00
Sites, in units of the cell vectors:
Pr1 0.000 0.000 0.000
Gd1 0.500 0.500 0.500
Lu1 0.250 0.250 0.250
Cd1 0.750 0.750 0.750

Values from the calculation:
- Size of the total moment: 7.658 μB per formula unit
- Energy relative to the elements: -6.0 kJ per mole of atoms
- Density: 8.3 g/cm3
- DOS at the Fermi energy: 1.21 states/eV/atom
- Energy: -6.14 eV per atom


Which of these has the lowest energy?
TeIrOsPb